Entry 1:
Entry from Alexandria via LeMat-Bulk: a relaxed Hf2NbSi2 crystal (GGA-PBEsol).

Properties
* uncorrected formation energy: -4.4 eV/f.u.
* density of states at the Fermi level: 0.410 states/eV/atom

Geometry as CIF:
```
data_Hf2NbSi2
_chemical_formula_sum 'Hf4 Nb2 Si4'
_symmetry_space_group_name_H-M 'P 4/m b m'
_symmetry_Int_Tables_number 127
_symmetry_space_group_name_Hall '-P 4 2ab'
_cell_length_a 6.788
_cell_length_b 6.788
_cell_length_c 3.668
_cell_angle_alpha 90.00
_cell_angle_beta 90.00
_cell_angle_gamma 90.00
loop_
_atom_site_label
_atom_site_type_symbol
_atom_site_fract_x
_atom_site_fract_y
_atom_site_fract_z
_atom_site_occupancy
Hf1 Hf 0.175 0.325 0.000 1
Nb1 Nb 0.000 0.000 0.500 1
Si1 Si 0.125 0.625 0.500 1
```


Entry 2:
Entry from Alexandria via LeMat-Bulk: a relaxed Mg3TlGe crystal (GGA-PBEsol).

Properties
* density of states at the Fermi level: 0.584 states/eV/atom
* formation energy from the elements: 0.5113 eV per atom

Geometry as CIF:
```
data_Mg3TlGe
_chemical_formula_sum 'Mg3 Tl1 Ge1'
_symmetry_space_group_name_H-M 'P m -3 m'
_symmetry_Int_Tables_number 221
_symmetry_space_group_name_Hall '-P 4 2 3'
_cell_length_a 5.210
_cell_length_b 5.210
_cell_length_c 5.210
_cell_angle_alpha 90.00
_cell_angle_beta 90.00
_cell_angle_gamma 90.00
loop_
_atom_site_label
_atom_site_type_symbol
_atom_site_fract_x
_atom_site_fract_y
_atom_site_fract_z
_atom_site_occupancy
Mg1 Mg 0.000 0.000 0.500 1
Tl1 Tl 0.000 0.000 0.000 1
Ge1 Ge 0.500 0.500 0.500 1
```


Entry 3:
Entry from Alexandria via LeMat-Bulk: a relaxed Ca2InCl crystal (GGA-PBEsol).

Properties
* uncorrected formation energy: -4.1 eV/f.u.
* density of states at the Fermi level: 0.420 states/eV/atom

Geometry as CIF:
```
data_Ca2InCl
_chemical_formula_sum 'Ca6 In3 Cl3'
_symmetry_space_group_name_H-M 'R -3 m'
_symmetry_Int_Tables_number 166
_symmetry_space_group_name_Hall '-R 3 2"'
_cell_length_a 3.9351
_cell_length_b 3.9351
_cell_length_c 24.2150
_cell_angle_alpha 90.00
_cell_angle_beta 90.00
_cell_angle_gamma 120.00
loop_
_atom_site_label
_atom_site_type_symbol
_atom_site_fract_x
_atom_site_fract_y
_atom_site_fract_z
_atom_site_occupancy
Ca1 Ca 0.0000 0.0000 0.2445 1
In1 In 0.0000 0.0000 0.0000 1
Cl1 Cl 0.0000 0.0000 0.5000 1
```


Entry 4:
Entry from Alexandria via LeMat-Bulk: a relaxed SrBe2TcNi crystal (GGA-PBEsol).

Properties
* density of states at the Fermi level: 0.955 states/eV/atom
* formation energy from the elements: 1.1981 eV per atom

Geometry as CIF:
```
data_SrBe2TcNi
_chemical_formula_sum 'Sr1 Be2 Tc1 Ni1'
_symmetry_space_group_name_H-M 'P 4/m m m'
_symmetry_Int_Tables_number 123
_symmetry_space_group_name_Hall '-P 4 2'
_cell_length_a 4.167
_cell_length_b 4.167
_cell_length_c 4.964
_cell_angle_alpha 90.00
_cell_angle_beta 90.00
_cell_angle_gamma 90.00
loop_
_atom_site_label
_atom_site_type_symbol
_atom_site_fract_x
_atom_site_fract_y
_atom_site_fract_z
_atom_site_occupancy
Sr1 Sr 0.000 0.000 0.000 1
Be1 Be 0.000 0.500 0.500 1
Tc1 Tc 0.500 0.500 0.000 1
Ni1 Ni 0.000 0.000 0.500 1
```


Entry 5:
Entry from Alexandria via LeMat-Bulk: a relaxed LiMoBr crystal (GGA-PBEsol).

Properties
* uncorrected formation energy: 3.2 eV/f.u.
* density of states at the Fermi level: 0.654 states/eV/atom

Geometry as CIF:
```
data_LiMoBr
_chemical_formula_sum 'Li4 Mo4 Br4'
_symmetry_space_group_name_H-M 'F -4 3 m'
_symmetry_Int_Tables_number 216
_symmetry_space_group_name_Hall 'F -4 2 3'
_cell_length_a 5.930
_cell_length_b 5.930
_cell_length_c 5.930
_cell_angle_alpha 90.00
_cell_angle_beta 90.00
_cell_angle_gamma 90.00
loop_
_atom_site_label
_atom_site_type_symbol
_atom_site_fract_x
_atom_site_fract_y
_atom_site_fract_z
_atom_site_occupancy
Li1 Li 0.000 0.000 0.000 1
Mo1 Mo 0.250 0.250 0.250 1
Br1 Br 0.000 0.000 0.500 1
```


Entry 6:
Entry from Alexandria via LeMat-Bulk: a relaxed Sr2CrOs crystal (GGA-PBEsol).

Properties
* density of states at the Fermi level: 0.650 states/eV/atom
* formation energy from the elements: 0.3589 eV per atom

Geometry as CIF:
```
data_Sr2CrOs
_chemical_formula_sum 'Sr6 Cr3 Os3'
_symmetry_space_group_name_H-M 'R 3 m'
_symmetry_Int_Tables_number 160
_symmetry_space_group_name_Hall 'R 3 -2"'
_cell_length_a 4.0550
_cell_length_b 4.0550
_cell_length_c 25.6192
_cell_angle_alpha 90.00
_cell_angle_beta 90.00
_cell_angle_gamma 120.00
loop_
_atom_site_label
_atom_site_type_symbol
_atom_site_fract_x
_atom_site_fract_y
_atom_site_fract_z
_atom_site_occupancy
Sr1 Sr 0.0000 0.0000 0.0000 1
Sr2 Sr 0.0000 0.0000 0.1781 1
Cr1 Cr 0.0000 0.0000 0.4218 1
Os1 Os 0.0000 0.0000 0.7562 1
```


Entry 7:
Entry from Alexandria via LeMat-Bulk: a relaxed CsNb3Co crystal (GGA-PBEsol).

Properties
* density of states at the Fermi level: 0.712 states/eV/atom
* formation energy from the elements: 1.3131 eV per atom

Geometry as CIF:
```
data_CsNb3Co
_chemical_formula_sum 'Cs1 Nb3 Co1'
_symmetry_space_group_name_H-M 'P m -3 m'
_symmetry_Int_Tables_number 221
_symmetry_space_group_name_Hall '-P 4 2 3'
_cell_length_a 4.743
_cell_length_b 4.743
_cell_length_c 4.743
_cell_angle_alpha 90.00
_cell_angle_beta 90.00
_cell_angle_gamma 90.00
loop_
_atom_site_label
_atom_site_type_symbol
_atom_site_fract_x
_atom_site_fract_y
_atom_site_fract_z
_atom_site_occupancy
Cs1 Cs 0.000 0.000 0.000 1
Nb1 Nb 0.000 0.500 0.500 1
Co1 Co 0.500 0.500 0.500 1
```


Entry 8:
Entry from Alexandria via LeMat-Bulk: a relaxed ZnGeO3 crystal (GGA-PBEsol).

Properties
* uncorrected formation energy: -8.1 eV/f.u.
* density of states at the Fermi level: 0.000 states/eV/atom

Geometry as CIF:
```
data_ZnGeO3
_chemical_formula_sum 'Zn6 Ge6 O18'
_symmetry_space_group_name_H-M 'R -3'
_symmetry_Int_Tables_number 148
_symmetry_space_group_name_Hall '-R 3'
_cell_length_a 4.9863
_cell_length_b 4.9863
_cell_length_c 13.8355
_cell_angle_alpha 90.00
_cell_angle_beta 90.00
_cell_angle_gamma 120.00
loop_
_atom_site_label
_atom_site_type_symbol
_atom_site_fract_x
_atom_site_fract_y
_atom_site_fract_z
_atom_site_occupancy
Zn1 Zn 0.0000 0.0000 0.1323 1
Ge1 Ge 0.0000 0.0000 0.3442 1
O1 O 0.0161 0.6388 0.9231 1
```


Entry 9:
Entry from Alexandria via LeMat-Bulk: a relaxed KLaS2O8 crystal (GGA-PBEsol).

Properties
* uncorrected formation energy: -25.9 eV/f.u.
* density of states at the Fermi level: 0.000 states/eV/atom

Geometry as CIF:
```
data_KLaS2O8
_chemical_formula_sum 'K2 La2 S4 O16'
_symmetry_space_group_name_H-M 'P -1'
_symmetry_Int_Tables_number 2
_cell_length_a 5.467
_cell_length_b 6.997
_cell_length_c 8.421
_cell_angle_alpha 86.11
_cell_angle_beta 87.94
_cell_angle_gamma 88.27
loop_
_symmetry_equiv_pos_as_xyz
'x,y,z'
'-x,-y,-z'
loop_
_atom_site_label
_atom_site_type_symbol
_atom_site_fract_x
_atom_site_fract_y
_atom_site_fract_z
_atom_site_occupancy
K1 K 0.246 0.349 0.183 1
La1 La 0.321 0.181 0.697 1
S1 S 0.222 0.693 0.545 1
S2 S 0.242 0.828 0.069 1
O1 O 0.017 0.716 0.104 1
O2 O 0.028 0.225 0.483 1
O3 O 0.212 0.548 0.680 1
O4 O 0.230 0.925 0.908 1
O5 O 0.272 0.964 0.195 1
O6 O 0.328 0.611 0.399 1
O7 O 0.388 0.852 0.578 1
O8 O 0.462 0.695 0.075 1
```


Entry 10:
Entry from Alexandria via LeMat-Bulk: a relaxed BaPbN2F crystal (GGA-PBEsol).

Properties
* uncorrected formation energy: 2.3 eV/f.u.
* density of states at the Fermi level: 0.519 states/eV/atom

Geometry as CIF:
```
data_BaPbN2F
_chemical_formula_sum 'Ba1 Pb1 N2 F1'
_symmetry_space_group_name_H-M 'P 4/m m m'
_symmetry_Int_Tables_number 123
_symmetry_space_group_name_Hall '-P 4 2'
_cell_length_a 4.634
_cell_length_b 4.634
_cell_length_c 4.794
_cell_angle_alpha 90.00
_cell_angle_beta 90.00
_cell_angle_gamma 90.00
loop_
_atom_site_label
_atom_site_type_symbol
_atom_site_fract_x
_atom_site_fract_y
_atom_site_fract_z
_atom_site_occupancy
Ba1 Ba 0.000 0.000 0.000 1
Pb1 Pb 0.500 0.500 0.500 1
N1 N 0.000 0.500 0.000 1
F1 F 0.000 0.000 0.500 1
```


Entry 11:
Entry from Alexandria via LeMat-Bulk: a relaxed Sb5Rh crystal (GGA-PBEsol).

Properties
* uncorrected formation energy: -0.2 eV/f.u.
* density of states at the Fermi level: 0.511 states/eV/atom

Geometry as CIF:
```
data_Sb5Rh
_chemical_formula_sum 'Sb10 Rh2'
_symmetry_space_group_name_H-M 'C m m m'
_symmetry_Int_Tables_number 65
_symmetry_space_group_name_Hall '-C 2 2'
_cell_length_a 4.164
_cell_length_b 13.811
_cell_length_c 5.570
_cell_angle_alpha 90.00
_cell_angle_beta 90.00
_cell_angle_gamma 90.00
loop_
_atom_site_label
_atom_site_type_symbol
_atom_site_fract_x
_atom_site_fract_y
_atom_site_fract_z
_atom_site_occupancy
Sb1 Sb 0.000 0.000 0.000 1
Sb2 Sb 0.000 0.324 0.000 1
Sb3 Sb 0.000 0.385 0.500 1
Rh1 Rh 0.000 0.000 0.500 1
```


Entry 12:
Entry from Alexandria via LeMat-Bulk: a relaxed CdIn2Se2S2 crystal (GGA-PBEsol).

Properties
* uncorrected formation energy: -3.9 eV/f.u.

Geometry as CIF:
```
data_CdIn2Se2S2
_chemical_formula_sum 'Cd8 In16 Se16 S16'
_symmetry_space_group_name_H-M 'F -4 3 m'
_symmetry_Int_Tables_number 216
_symmetry_space_group_name_Hall 'F -4 2 3'
_cell_length_a 11.113
_cell_length_b 11.113
_cell_length_c 11.113
_cell_angle_alpha 90.00
_cell_angle_beta 90.00
_cell_angle_gamma 90.00
loop_
_atom_site_label
_atom_site_type_symbol
_atom_site_fract_x
_atom_site_fract_y
_atom_site_fract_z
_atom_site_occupancy
Cd1 Cd 0.000 0.000 0.000 1
Cd2 Cd 0.250 0.250 0.250 1
In1 In 0.128 0.128 0.628 1
Se1 Se 0.116 0.116 0.384 1
S1 S 0.135 0.135 0.865 1
```


Entry 13:
Entry from Alexandria via LeMat-Bulk: a relaxed CuTe2Mo crystal (GGA-PBEsol).

Properties
* uncorrected formation energy: 0.7 eV/f.u.
* density of states at the Fermi level: 0.437 states/eV/atom

Geometry as CIF:
```
data_CuTe2Mo
_chemical_formula_sum 'Cu2 Te4 Mo2'
_symmetry_space_group_name_H-M 'C 1 m 1'
_symmetry_Int_Tables_number 8
_cell_length_a 7.694
_cell_length_b 3.544
_cell_length_c 6.791
_cell_angle_alpha 90.00
_cell_angle_beta 105.23
_cell_angle_gamma 90.00
loop_
_symmetry_equiv_pos_as_xyz
'x,y,z'
'x,-y,z'
'x+1/2,y+1/2,z'
'x+1/2,-y+1/2,z'
loop_
_atom_site_label
_atom_site_type_symbol
_atom_site_fract_x
_atom_site_fract_y
_atom_site_fract_z
_atom_site_occupancy
Cu1 Cu 0.000 0.000 0.000 1
Te1 Te 0.261 0.000 0.846 1
Te2 Te 0.488 0.000 0.398 1
Mo1 Mo 0.244 0.500 0.168 1
```


Entry 14:
Entry from Alexandria via LeMat-Bulk: a relaxed ZrScAs4 crystal (GGA-PBEsol).

Properties
* density of states at the Fermi level: 0.964 states/eV/atom
* formation energy from the elements: -0.0851 eV per atom

Geometry as CIF:
```
data_ZrScAs4
_chemical_formula_sum 'Zr4 Sc4 As16'
_symmetry_space_group_name_H-M 'F -4 3 m'
_symmetry_Int_Tables_number 216
_symmetry_space_group_name_Hall 'F -4 2 3'
_cell_length_a 7.721
_cell_length_b 7.721
_cell_length_c 7.721
_cell_angle_alpha 90.00
_cell_angle_beta 90.00
_cell_angle_gamma 90.00
loop_
_atom_site_label
_atom_site_type_symbol
_atom_site_fract_x
_atom_site_fract_y
_atom_site_fract_z
_atom_site_occupancy
Zr1 Zr 0.000 0.000 0.000 1
Sc1 Sc 0.250 0.250 0.750 1
As1 As 0.125 0.125 0.375 1
```


Number 1: volume 84 Å³/f.u., energy -0.3507 Ha/atom, density 9.945 Mg/m³. Number 2: volume 141 Å³/f.u., energy -0.0747 Ha/atom, density 4.108 Mg/m³. Number 3: volume 108 Å³/f.u., energy -0.1232 Ha/atom, density 3.535 Mg/m³. Number 4: volume 86 Å³/f.u., energy -0.1564 Ha/atom, density 5.053 Mg/m³. Number 5: volume 52 Å³/f.u., energy -0.1524 Ha/atom, density 5.824 Mg/m³. Number 6: volume 122 Å³/f.u., energy -0.2270 Ha/atom, density 5.701 Mg/m³. Number 7: volume 107 Å³/f.u., energy -0.2541 Ha/atom, density 7.323 Mg/m³. Number 8: volume 50 Å³/f.u., energy -0.2230 Ha/atom, density 6.222 Mg/m³. Number 9: volume 161 Å³/f.u., energy -0.2545 Ha/atom, density 3.829 Mg/m³. Number 10: volume 103 Å³/f.u., energy -0.1681 Ha/atom, density 6.315 Mg/m³. Number 11: volume 160 Å³/f.u., energy -0.1907 Ha/atom, density 7.379 Mg/m³. Number 12: volume 172 Å³/f.u., energy -0.1447 Ha/atom, density 5.461 Mg/m³. Number 13: volume 89 Å³/f.u., energy -0.2065 Ha/atom, density 7.708 Mg/m³. Number 14: volume 115 Å³/f.u., energy -0.2244 Ha/atom, density 6.289 Mg/m³.